No. 1
NpIrPd (PBE, relaxed); energy = -9.11 eV per atom; ΔH_f (0 K) = -0.113 eV per atom
1.0
-1.7633 1.7633 4.5217
1.7633 -1.7633 4.5217
1.7633 1.7633 -4.5217
Np Ir Pd
1 1 1
direct
0.0000 0.0000 0.0000 Np
0.3562 0.3562 0.0000 Ir
0.6804 0.6804 0.0000 Pd

No. 2
NpIr2Pd (PBE, relaxed); energy = -9.29 eV per atom; ΔH_f (0 K) = -0.329 eV per atom
1.0
4.1306 0.0000 0.0000
0.0000 4.1306 0.0000
0.0000 0.0000 3.9527
Np Ir Pd
1 2 1
direct
0.0000 0.0000 0.0000 Np
0.0000 0.5000 0.5000 Ir
0.5000 0.0000 0.5000 Ir
0.5000 0.5000 0.0000 Pd

No. 3
NpIr4Pd (PBE, relaxed); energy = -9.11 eV per atom; ΔH_f (0 K) = -0.176 eV per atom
1.0
0.0000 3.7073 3.7073
3.7073 0.0000 3.7073
3.7073 3.7073 0.0000
Np Ir Pd
1 4 1
direct
0.0000 0.0000 0.0000 Np
0.3751 0.3751 0.3751 Ir
0.3751 0.3751 0.8746 Ir
0.3751 0.8746 0.3751 Ir
0.8746 0.3751 0.3751 Ir
0.7500 0.7500 0.7500 Pd

No. 4
NpIrPd2 (PBE, relaxed); energy = -8.43 eV per atom; ΔH_f (0 K) = -0.385 eV per atom
1.0
4.0115 0.0000 0.0000
0.0000 4.0115 0.0000
0.0000 0.0000 4.2816
Np Ir Pd
1 1 2
direct
0.0000 0.0000 0.0000 Np
0.5000 0.5000 0.0000 Ir
0.0000 0.5000 0.5000 Pd
0.5000 0.0000 0.5000 Pd

No. 5
NpIr2Pd (PBE, relaxed); energy = -9.08 eV per atom; ΔH_f (0 K) = -0.118 eV per atom
1.0
2.2953 1.3252 3.7794
-2.2953 1.3252 3.7794
0.0000 -2.6503 3.7794
Np Ir Pd
1 2 1
direct
0.0000 0.0000 0.0000 Np
0.2534 0.2534 0.2534 Ir
0.7466 0.7466 0.7466 Ir
0.5000 0.5000 0.5000 Pd

No. 6
NpIrPd2 (PBE, relaxed); energy = -8.14 eV per atom; ΔH_f (0 K) = -0.097 eV per atom
1.0
0.0000 3.2801 3.2801
3.2801 0.0000 3.2801
3.2801 3.2801 0.0000
Np Ir Pd
1 1 2
direct
0.0000 0.0000 0.0000 Np
0.5000 0.5000 0.5000 Ir
0.2500 0.2500 0.2500 Pd
0.7500 0.7500 0.7500 Pd

No. 7
PmNpIrPd (PBE, relaxed); energy = -8.33 eV per atom; ΔH_f (0 K) = -0.392 eV per atom
1.0
0.0000 3.5059 3.5059
3.5059 0.0000 3.5059
3.5059 3.5059 0.0000
Pm Np Ir Pd
1 1 1 1
direct
0.0000 0.0000 0.0000 Pm
0.5000 0.5000 0.5000 Np
0.2500 0.2500 0.2500 Ir
0.7500 0.7500 0.7500 Pd

No. 8
PrNpIrPd (PBE, relaxed); energy = -8.28 eV per atom; ΔH_f (0 K) = -0.338 eV per atom
1.0
0.0000 3.5320 3.5320
3.5320 0.0000 3.5320
3.5320 3.5320 0.0000
Pr Np Ir Pd
1 1 1 1
direct
0.0000 0.0000 0.0000 Pr
0.5000 0.5000 0.5000 Np
0.2500 0.2500 0.2500 Ir
0.7500 0.7500 0.7500 Pd